# 1
## LiTe2O (PBEsol)

Data for LiTe2O after structural relaxation.

Results
Density of states at the Fermi level: 3.42 states/eV per cell
E_form (uncorrected): -0.256 eV/atom
Calculated volume: 28.651 Å³/atom
Total DFT energy (no corrections): -3.823 eV/atom

Cell: 5.8569 5.8569 13.3637 Å, 90.00 90.00 90.00°
Space group I-42d (No. 122)
One atom of each set of equivalent atoms:
1 Li 0.0000 0.0000 0.0000 (multiplicity 4)
2 Te 0.0569 0.2500 0.6250 (multiplicity 8)
3 O 0.0000 0.0000 0.5000 (multiplicity 4)

# 2
## Li2TeO3 (PBEsol)

Data for Li2TeO3 after structural relaxation.

Results
Density of states at the Fermi level: 0.00 states/eV per cell
E_form (uncorrected): -1.656 eV/atom
Calculated volume: 14.906 Å³/atom
Total DFT energy (no corrections): -5.524 eV/atom

Cell: 5.0535 9.5294 7.4548 Å, 90.00 94.78 90.00°
Space group C2/m (No. 12)
One atom of each set of equivalent atoms:
1 Li 0.2056 0.1570 0.1226 (multiplicity 8)
2 Te 0.2355 0.5000 0.2936 (multiplicity 4)
3 O 0.1359 0.5000 0.7464 (multiplicity 4)
4 O 0.1801 0.1500 0.8550 (multiplicity 8)

# 3
## Li4TeO5 (PBEsol)

Data for Li4TeO5 after structural relaxation.

Results
Density of states at the Fermi level: 0.00 states/eV per cell
E_form (uncorrected): -1.797 eV/atom
Calculated volume: 9.121 Å³/atom
Total DFT energy (no corrections): -5.561 eV/atom

Cell: 5.1047 5.1577 7.7591 Å, 107.81 101.95 101.63°
Space group P-1 (No. 2)
One atom of each set of equivalent atoms:
1 Li 0.0000 0.0000 0.0000 (multiplicity 1)
2 Li 0.0742 0.1960 0.6816 (multiplicity 2)
3 Li 0.2042 0.3872 0.3964 (multiplicity 2)
4 Li 0.2721 0.6057 0.1121 (multiplicity 2)
5 Li 0.5000 0.0000 0.5000 (multiplicity 1)
6 Te 0.3912 0.7888 0.7879 (multiplicity 2)
7 O 0.0739 0.6090 0.8473 (multiplicity 2)
8 O 0.1623 0.8165 0.5711 (multiplicity 2)
9 O 0.2794 0.0093 0.2496 (multiplicity 2)
10 O 0.3671 0.1712 0.9559 (multiplicity 2)
11 O 0.4492 0.4345 0.6684 (multiplicity 2)

# 4
## Li6Te2O9 (PBEsol)

Data for Li6Te2O9 after structural relaxation.

Results
E_form (uncorrected): -1.612 eV/atom
Calculated volume: 10.703 Å³/atom
Total DFT energy (no corrections): -5.500 eV/atom

Cell: 5.8555 8.5005 15.6068 Å, 88.50 79.81 72.23°
Space group P-1 (No. 2)
One atom of each set of equivalent atoms:
1 Li 0.0155 0.3607 0.3523 (multiplicity 2)
2 Li 0.0582 0.6470 0.4928 (multiplicity 2)
3 Li 0.0729 0.8693 0.7286 (multiplicity 2)
4 Li 0.0988 0.1370 0.0008 (multiplicity 2)
5 Li 0.1216 0.1492 0.8370 (multiplicity 2)
6 Li 0.2332 0.6260 0.2230 (multiplicity 2)
7 Li 0.3220 0.3651 0.7710 (multiplicity 2)
8 Li 0.3215 0.9911 0.5649 (multiplicity 2)
9 Li 0.3488 0.8230 0.9454 (multiplicity 2)
10 Li 0.3519 0.4793 0.9528 (multiplicity 2)
11 Li 0.3930 0.1409 0.2716 (multiplicity 2)
12 Li 0.4195 0.3577 0.5244 (multiplicity 2)
13 Te 0.0922 0.3783 0.1471 (multiplicity 2)
14 Te 0.2531 0.8834 0.3591 (multiplicity 2)
15 Te 0.3574 0.9027 0.1453 (multiplicity 2)
16 Te 0.4974 0.3986 0.3451 (multiplicity 2)
17 O 0.0117 0.3910 0.8405 (multiplicity 2)
18 O 0.0130 0.1687 0.5792 (multiplicity 2)
19 O 0.0930 0.6678 0.9298 (multiplicity 2)
20 O 0.0940 0.8833 0.2417 (multiplicity 2)
21 O 0.1255 0.1127 0.3596 (multiplicity 2)
22 O 0.1498 0.9240 0.0627 (multiplicity 2)
23 O 0.1762 0.6128 0.7458 (multiplicity 2)
24 O 0.2027 0.1452 0.1802 (multiplicity 2)
25 O 0.2148 0.4228 0.4318 (multiplicity 2)
26 O 0.2913 0.3910 0.2559 (multiplicity 2)
27 O 0.3125 0.5782 0.5726 (multiplicity 2)
28 O 0.3653 0.0442 0.9105 (multiplicity 2)
29 O 0.3740 0.3631 0.0646 (multiplicity 2)
30 O 0.3866 0.8327 0.6620 (multiplicity 2)
31 O 0.4159 0.6354 0.3205 (multiplicity 2)
32 O 0.4524 0.8655 0.4428 (multiplicity 2)
33 O 0.4846 0.6735 0.1371 (multiplicity 2)
34 O 0.4855 0.1054 0.7451 (multiplicity 2)

# 5
## Li2TeO3 (PBEsol)

Data for Li2TeO3 after structural relaxation.

Results
Density of states at the Fermi level: 0.00 states/eV per cell
E_form (uncorrected): -1.664 eV/atom
Calculated volume: 13.033 Å³/atom
Total DFT energy (no corrections): -5.532 eV/atom

Cell: 4.9829 9.5621 13.1840 Å, 90.00 95.20 90.00°
Space group C2/c (No. 15)
One atom of each set of equivalent atoms:
1 Li 0.2093 0.0656 0.3176 (multiplicity 8)
2 Li 0.2087 0.2485 0.8216 (multiplicity 8)
3 Te 0.2423 0.4078 0.4175 (multiplicity 8)
4 O 0.1369 0.4107 0.1020 (multiplicity 8)
5 O 0.1812 0.0576 0.1673 (multiplicity 8)
6 O 0.1861 0.2405 0.6703 (multiplicity 8)

# 6
## Li2Te2O5 (PBEsol)

Data for Li2Te2O5 after structural relaxation.

Results
Density of states at the Fermi level: 0.00 states/eV per cell
E_form (uncorrected): -1.468 eV/atom
Calculated volume: 13.271 Å³/atom
Total DFT energy (no corrections): -5.605 eV/atom

Cell: 10.2869 4.5641 12.1974 Å, 90.00 123.47 90.00°
Space group P2_1/c (No. 14)
One atom of each set of equivalent atoms:
1 Li 0.0763 0.2212 0.4879 (multiplicity 4)
2 Li 0.0778 0.7031 0.8281 (multiplicity 4)
3 Te 0.3111 0.6981 0.6553 (multiplicity 4)
4 Te 0.3122 0.1908 0.8794 (multiplicity 4)
5 O 0.1122 0.2325 0.3433 (multiplicity 4)
6 O 0.1118 0.7230 0.0075 (multiplicity 4)
7 O 0.2461 0.6848 0.2932 (multiplicity 4)
8 O 0.2558 0.1884 0.1766 (multiplicity 4)
9 O 0.3916 0.5188 0.5501 (multiplicity 4)

# 7
## Li2TiTeO (PBEsol)

Data for Li2TiTeO after structural relaxation.

Results
Density of states at the Fermi level: 6.12 states/eV per cell
E_form (uncorrected): 0.333 eV/atom
Calculated volume: 20.993 Å³/atom
Total DFT energy (no corrections): -3.874 eV/atom

Cell: 4.9614 4.9614 4.2642 Å, 90.00 90.00 90.00°
Space group P4/mmm (No. 123)
One atom of each set of equivalent atoms:
1 Li 0.0000 0.5000 0.0000 (multiplicity 2)
2 Ti 0.0000 0.0000 0.5000 (multiplicity 1)
3 Te 0.5000 0.5000 0.0000 (multiplicity 1)
4 O 0.5000 0.5000 0.5000 (multiplicity 1)

# 8
## Li2TiTe3O12 (PBEsol)

Data for Li2TiTe3O12 after structural relaxation.

Results
Density of states at the Fermi level: 0.00 states/eV per cell
E_form (uncorrected): -1.489 eV/atom
Calculated volume: 11.817 Å³/atom
Total DFT energy (no corrections): -6.257 eV/atom

Cell: 4.9427 8.3509 5.1548 Å, 90.00 91.43 90.00°
Space group P2 (No. 3)
One atom of each set of equivalent atoms:
1 Li 0.0000 0.0000 0.0000 (multiplicity 1)
2 Li 0.5000 0.1242 0.0000 (multiplicity 1)
3 Ti 0.0000 0.2085 0.5000 (multiplicity 1)
4 Te 0.0000 0.3819 0.0000 (multiplicity 1)
5 Te 0.5000 0.6911 0.0000 (multiplicity 1)
6 Te 0.5000 0.8904 0.5000 (multiplicity 1)
7 O 0.1988 0.3685 0.6931 (multiplicity 2)
8 O 0.2034 0.2099 0.1750 (multiplicity 2)
9 O 0.2489 0.5445 0.1452 (multiplicity 2)
10 O 0.2600 0.0432 0.6400 (multiplicity 2)
11 O 0.2904 0.8700 0.1697 (multiplicity 2)
12 O 0.2939 0.7196 0.6788 (multiplicity 2)

# 9
## LiVTeO5 (PBEsol)

Data for LiVTeO5 after structural relaxation.

Results
Density of states at the Fermi level: 0.00 states/eV per cell
E_form (uncorrected): -1.787 eV/atom
Calculated volume: 15.069 Å³/atom
Total DFT energy (no corrections): -6.959 eV/atom

Cell: 4.8688 8.7034 11.3795 Å, 90.00 90.00 90.00°
Space group P2_12_12_1 (No. 19)
One atom of each set of equivalent atoms:
1 Li 0.1774 0.0510 0.4606 (multiplicity 4)
2 V 0.1653 0.4235 0.3721 (multiplicity 4)
3 Te 0.1861 0.6820 0.6076 (multiplicity 4)
4 O 0.1665 0.9514 0.1185 (multiplicity 4)
5 O 0.1816 0.4698 0.9949 (multiplicity 4)
6 O 0.1863 0.1598 0.9261 (multiplicity 4)
7 O 0.2212 0.5223 0.7265 (multiplicity 4)
8 O 0.2307 0.2394 0.3838 (multiplicity 4)

# 10
## LiVTeO5 (PBEsol)

Data for LiVTeO5 after structural relaxation.

Results
Density of states at the Fermi level: 0.00 states/eV per cell
E_form (uncorrected): -1.829 eV/atom
Calculated volume: 12.609 Å³/atom
Total DFT energy (no corrections): -7.001 eV/atom

Cell: 7.5620 5.9266 9.0031 Å, 90.00 90.00 90.00°
Space group Pnma (No. 62)
One atom of each set of equivalent atoms:
1 Li 0.0000 0.0000 0.0000 (multiplicity 4)
2 V 0.2108 0.2500 0.2893 (multiplicity 4)
3 Te 0.1207 0.2500 0.6710 (multiplicity 4)
4 O 0.0326 0.2500 0.3993 (multiplicity 4)
5 O 0.1367 0.2500 0.1193 (multiplicity 4)
6 O 0.1573 0.7500 0.0847 (multiplicity 4)
7 O 0.1778 0.0181 0.8178 (multiplicity 8)

# 11
## Li4VTeW2O12 (PBEsol)

Data for Li4VTeW2O12 after structural relaxation.

Results
Density of states at the Fermi level: 3.09 states/eV per cell
E_form (uncorrected): -2.027 eV/atom
Calculated volume: 10.502 Å³/atom
Total DFT energy (no corrections): -7.608 eV/atom

Cell: 5.0505 5.4425 7.6853 Å, 96.14 90.46 90.15°
Space group P1 (No. 1)
One atom of each set of equivalent atoms:
1 Li 0.0000 0.0000 0.0000 (multiplicity 1)
2 Li 0.0145 0.0145 0.5366 (multiplicity 1)
3 Li 0.4861 0.5140 0.5380 (multiplicity 1)
4 Li 0.5161 0.4889 0.9961 (multiplicity 1)
5 V 0.9890 0.4315 0.7865 (multiplicity 1)
6 Te 0.5039 0.9481 0.2952 (multiplicity 1)
7 W 0.0098 0.4333 0.2881 (multiplicity 1)
8 W 0.5104 0.9297 0.8055 (multiplicity 1)
9 O 0.1440 0.4302 0.0737 (multiplicity 1)
10 O 0.1548 0.7118 0.4038 (multiplicity 1)
11 O 0.2145 0.1290 0.7624 (multiplicity 1)
12 O 0.2956 0.6277 0.7674 (multiplicity 1)
13 O 0.3057 0.2419 0.3941 (multiplicity 1)
14 O 0.3729 0.9433 0.0573 (multiplicity 1)
15 O 0.6473 0.8895 0.5862 (multiplicity 1)
16 O 0.6795 0.5433 0.2464 (multiplicity 1)
17 O 0.7226 0.2120 0.8810 (multiplicity 1)
18 O 0.7922 0.7107 0.8856 (multiplicity 1)
19 O 0.8587 0.0894 0.2558 (multiplicity 1)
20 O 0.8729 0.3955 0.5771 (multiplicity 1)

# 12
## Li2TeWO6 (PBEsol)

Data for Li2TeWO6 after structural relaxation.

Results
Density of states at the Fermi level: 0.00 states/eV per cell
E_form (uncorrected): -1.882 eV/atom
Calculated volume: 11.929 Å³/atom
Total DFT energy (no corrections): -7.158 eV/atom

Cell: 5.3454 12.8782 8.4959 Å, 90.00 125.33 90.00°
Space group P2_1/c (No. 14)
One atom of each set of equivalent atoms:
1 Li 0.0497 0.0692 0.2395 (multiplicity 4)
2 Li 0.2665 0.1510 0.0249 (multiplicity 4)
3 Te 0.1849 0.7004 0.9324 (multiplicity 4)
4 W 0.4771 0.0954 0.7588 (multiplicity 4)
5 O 0.1314 0.0572 0.7411 (multiplicity 4)
6 O 0.1831 0.6945 0.7009 (multiplicity 4)
7 O 0.2275 0.2483 0.6955 (multiplicity 4)
8 O 0.3100 0.0224 0.1571 (multiplicity 4)
9 O 0.3311 0.6554 0.4663 (multiplicity 4)
10 O 0.3383 0.0980 0.5103 (multiplicity 4)

Which formula does entry 12 have?
Li2TeWO6

Which formula does entry 9 have?
LiVTeO5

Among the records above, which one has the lowest calculated volume?
Li4TeO5

Which formula does entry 1 have?
LiTe2O